Below is CaNb2Cu after structural relaxation, with properties calculated at the PBE level.

Lattice parameters (Å, degrees): 6.6635 6.6635 6.6635 90.00 90.00 90.00
Space group Fm-3m (No. 225)
Unique sites:
Ca 0.0000 0.0000 0.0000 [4 per cell]
Nb 0.2500 0.2500 0.2500 [8 per cell]
Cu 0.0000 0.0000 0.5000 [4 per cell]

Calculated values
**Formation enthalpy at 0 K**: 836 meV per atom
**Offset from the most stable computed form**: 0.69 eV per formula unit
**Uncorrected energy**: -5.7229 eV per atom
**Size of the total moment**: 0.000 μB/f.u.